A plane-wave DFT calculation with PBE was carried out for a relaxed structure of La2PuIn6.

Values from the calculation:
mass density = 8.12 g/cm³
formation energy = -0.3785 eV per atom
calculated total energy = -4.89 eV per atom

abc: 3.693 8.796 8.796
angles: 60.01 89.98 89.98
Site moments in Bohr magnetons follow the coordinates.
Fractional positions:
1 La 0.000 0.333 0.333  -0.01
2 La 0.000 0.667 0.667  -0.01
3 Pu 0.000 0.000 0.000  5.51
4 In 0.499 0.668 0.000  -0.01
5 In 0.501 0.000 0.332  -0.01
6 In 0.501 0.332 0.000  -0.01
7 In 0.500 0.668 0.332  -0.01
8 In 0.499 0.000 0.668  -0.01
9 In 0.500 0.332 0.668  -0.01

A plane-wave DFT calculation with PBE was carried out for a relaxed structure of LaSmPuIn.

Values from the calculation:
mass density = 8.96 g/cm³
formation energy = -0.0785 eV per atom
calculated total energy = -6.76 eV per atom

abc: 5.538 5.538 5.538
angles: 60.00 60.00 60.00
Site moments in Bohr magnetons follow the coordinates.
Fractional positions:
1 La 0.250 0.250 0.250  0.22
2 In 0.000 0.000 0.000  -0.07
3 Sm 0.750 0.750 0.750  0.20
4 Pu 0.500 0.500 0.500  5.71

A plane-wave DFT calculation with PBE was carried out for a relaxed structure of LaPuInSn.

Values from the calculation:
mass density = 8.79 g/cm³
formation energy = -0.3723 eV per atom
calculated total energy = -6.87 eV per atom

abc: 5.481 5.481 5.481
angles: 60.00 60.00 60.00
Site moments in Bohr magnetons follow the coordinates.
Fractional positions:
1 La 0.500 0.500 0.500  0.11
2 In 0.750 0.750 0.750  -0.01
3 Sn 0.250 0.250 0.250  -0.04
4 Pu 0.000 0.000 0.000  5.48

A plane-wave DFT calculation with PBE was carried out for a relaxed structure of LaTbPuIn.

Values from the calculation:
mass density = 9.23 g/cm³
formation energy = -0.0706 eV per atom
calculated total energy = -6.73 eV per atom

abc: 5.507 5.507 5.507
angles: 60.00 60.00 60.00
Site moments in Bohr magnetons follow the coordinates.
Fractional positions:
1 In 0.250 0.250 0.250  -0.07
2 La 0.000 0.000 0.000  0.22
3 Tb 0.500 0.500 0.500  0.28
4 Pu 0.750 0.750 0.750  5.70

A plane-wave DFT calculation with PBE was carried out for a relaxed structure of Rb3LaIn.

Values from the calculation:
mass density = 2.33 g/cm³
formation energy = 0.9343 eV per atom
energy above the lowest structure with this stoichiometry = 150 meV/atom
calculated total energy = -1.18 eV per atom

abc: 7.141 7.141 7.141
angles: 90.00 90.00 90.00
Site moments in Bohr magnetons follow the coordinates.
Fractional positions:
1 In 0.500 0.500 0.500  0.02
2 Rb 0.000 0.500 0.000  0.05
3 Rb 0.000 0.000 0.500  0.07
4 Rb 0.500 0.000 0.000  0.04
5 La 0.000 0.000 0.000  1.10

A plane-wave DFT calculation with PBE was carried out for a relaxed structure of RbLaIn4.

Values from the calculation:
mass density = 6.36 g/cm³
formation energy = -0.2091 eV per atom
calculated total energy = -3.02 eV per atom

abc: 6.321 6.321 6.321
angles: 60.00 60.00 60.00
Fractional positions:
1 In 0.626 0.626 0.123
2 In 0.626 0.123 0.626
3 In 0.626 0.626 0.626
4 In 0.123 0.626 0.626
5 Rb 0.250 0.250 0.250
6 La 0.000 0.000 0.000

A plane-wave DFT calculation with PBE was carried out for a relaxed structure of Rb2LaIn.

Values from the calculation:
mass density = 3.34 g/cm³
formation energy = 0.4150 eV per atom
calculated total energy = -1.99 eV per atom

abc: 11.392 11.392 8.688
angles: 49.03 49.03 90.00
Fractional positions:
1 In 0.500 0.500 0.000
2 In 0.250 0.750 0.500
3 Rb 0.553 0.125 0.250
4 Rb 0.197 0.625 0.250
5 Rb 0.375 0.447 0.750
6 Rb 0.875 0.803 0.750
7 La 0.000 0.000 0.000
8 La 0.750 0.250 0.500

A plane-wave DFT calculation with PBE was carried out for a relaxed structure of RbLa2In2.

Values from the calculation:
mass density = 5.58 g/cm³
formation energy = -0.1824 eV per atom
energy above the lowest structure with this stoichiometry = 54 meV/atom
calculated total energy = -3.44 eV per atom

abc: 9.869 9.869 3.621
angles: 90.00 90.00 90.00
Fractional positions:
1 In 0.379 0.879 0.000
2 In 0.879 0.621 0.000
3 In 0.621 0.121 0.000
4 In 0.121 0.379 0.000
5 Rb 0.000 0.000 0.000
6 Rb 0.500 0.500 0.000
7 La 0.168 0.668 0.500
8 La 0.668 0.832 0.500
9 La 0.832 0.332 0.500
10 La 0.332 0.168 0.500

A plane-wave DFT calculation with PBE was carried out for a relaxed structure of Rb3LaIn.

Values from the calculation:
mass density = 3.23 g/cm³
formation energy = 0.7845 eV per atom
energy above the lowest structure with this stoichiometry = 0 meV/atom
calculated total energy = -1.33 eV per atom

abc: 6.401 6.401 6.401
angles: 90.00 90.00 90.00
Site moments in Bohr magnetons follow the coordinates.
Fractional positions:
1 In 0.000 0.000 0.000  0.06
2 Rb 0.000 0.500 0.000  0.00
3 Rb 0.000 0.000 0.500  0.00
4 Rb 0.500 0.000 0.000  0.01
5 La 0.500 0.500 0.500  -0.17

A plane-wave DFT calculation with PBE was carried out for a relaxed structure of RbLaIn3.

Values from the calculation:
mass density = 3.93 g/cm³
formation energy = 0.2991 eV per atom
energy above the lowest structure with this stoichiometry = 0 meV/atom
calculated total energy = -2.52 eV per atom

abc: 6.215 6.215 6.215
angles: 90.00 90.00 90.00
Fractional positions:
1 In 0.000 0.500 0.000
2 In 0.000 0.000 0.500
3 In 0.500 0.000 0.000
4 Rb 0.500 0.500 0.500
5 La 0.000 0.000 0.000

A plane-wave DFT calculation with PBE was carried out for a relaxed structure of RbLa3In.

Values from the calculation:
mass density = 4.20 g/cm³
formation energy = 0.3260 eV per atom
energy above the lowest structure with this stoichiometry = 0 meV/atom
calculated total energy = -3.37 eV per atom

abc: 6.246 6.246 6.246
angles: 90.00 90.00 90.00
Fractional positions:
1 In 0.000 0.000 0.000
2 Rb 0.500 0.500 0.500
3 La 0.000 0.500 0.000
4 La 0.000 0.000 0.500
5 La 0.500 0.000 0.000

A plane-wave DFT calculation with PBE was carried out for a relaxed structure of RbLa2In2.

Values from the calculation:
mass density = 5.63 g/cm³
formation energy = -0.2366 eV per atom
energy above the lowest structure with this stoichiometry = 0 meV/atom
calculated total energy = -3.50 eV per atom

abc: 10.032 10.032 3.474
angles: 90.00 90.00 90.00
Site moments in Bohr magnetons follow the coordinates.
Fractional positions:
1 In 0.172 0.672 0.500  0.00
2 In 0.672 0.828 0.500  0.00
3 In 0.828 0.328 0.500  0.00
4 In 0.328 0.172 0.500  0.00
5 Rb 0.000 0.000 0.000  0.00
6 Rb 0.500 0.500 0.000  0.00
7 La 0.377 0.877 0.000  0.08
8 La 0.877 0.623 0.000  0.07
9 La 0.623 0.123 0.000  0.08
10 La 0.123 0.377 0.000  0.07

A plane-wave DFT calculation with PBE was carried out for a relaxed structure of RbLa3In.

Values from the calculation:
mass density = 5.58 g/cm³
formation energy = 0.9235 eV per atom
energy above the lowest structure with this stoichiometry = 597 meV/atom
calculated total energy = -2.77 eV per atom

abc: 5.685 5.685 5.685
angles: 90.00 90.00 90.00
Fractional positions:
1 In 0.500 0.500 0.500
2 Rb 0.000 0.000 0.000
3 La 0.000 0.500 0.000
4 La 0.000 0.000 0.500
5 La 0.500 0.000 0.000

A plane-wave DFT calculation with PBE was carried out for a relaxed structure of RbLaIn3.

Values from the calculation:
mass density = 4.78 g/cm³
formation energy = 0.7515 eV per atom
energy above the lowest structure with this stoichiometry = 452 meV/atom
calculated total energy = -2.07 eV per atom

abc: 5.825 5.825 5.825
angles: 90.00 90.00 90.00
Fractional positions:
1 In 0.000 0.500 0.000
2 In 0.000 0.000 0.500
3 In 0.500 0.000 0.000
4 Rb 0.000 0.000 0.000
5 La 0.500 0.500 0.500

A plane-wave DFT calculation with PBE was carried out for a relaxed structure of RbLaIn6.

Values from the calculation:
mass density = 6.27 g/cm³
formation energy = -0.1891 eV per atom
calculated total energy = -2.98 eV per atom

abc: 5.057 6.944 6.890
angles: 90.00 90.00 90.00
Fractional positions:
1 Rb 0.000 0.609 0.000
2 La 0.500 0.392 0.500
3 In 0.500 0.867 0.259
4 In 0.000 0.146 0.728
5 In 0.000 0.146 0.272
6 In 0.500 0.867 0.741
7 In 0.000 0.733 0.500
8 In 0.500 0.241 0.000

A plane-wave DFT calculation with PBE was carried out for a relaxed structure of RbLaInRe2.

Values from the calculation:
mass density = 8.77 g/cm³
formation energy = 2.5895 eV per atom
calculated total energy = -4.12 eV per atom

abc: 4.972 5.453 4.972
angles: 90.00 90.00 90.00
Site moments in Bohr magnetons follow the coordinates.
Fractional positions:
1 Re 0.000 0.000 0.500  0.67
2 Re 0.500 0.000 0.000  0.80
3 In 0.000 0.500 0.000  -0.02
4 Rb 0.000 0.000 0.000  -0.01
5 La 0.500 0.500 0.500  -0.03

A plane-wave DFT calculation with PBE was carried out for a relaxed structure of RbLaIn2Ru.

Values from the calculation:
mass density = 5.92 g/cm³
formation energy = -0.1944 eV per atom
calculated total energy = -4.32 eV per atom

abc: 5.439 5.439 5.260
angles: 90.00 90.00 90.00
Fractional positions:
1 Ru 0.000 0.000 0.000
2 In 0.000 0.500 0.000
3 In 0.500 0.000 0.000
4 Rb 0.500 0.500 0.500
5 La 0.000 0.000 0.500

A plane-wave DFT calculation with PBE was carried out for a relaxed structure of RbLa2InRu.

Values from the calculation:
mass density = 5.70 g/cm³
formation energy = -0.1067 eV per atom
calculated total energy = -4.67 eV per atom

abc: 5.531 5.531 5.518
angles: 90.00 90.00 90.00
Fractional positions:
1 Ru 0.000 0.000 0.000
2 In 0.000 0.000 0.500
3 Rb 0.500 0.500 0.500
4 La 0.000 0.500 0.000
5 La 0.500 0.000 0.000

A plane-wave DFT calculation with PBE was carried out for a relaxed structure of Rb3La3InTe8.

Values from the calculation:
mass density = 4.62 g/cm³
calculated total energy = -4.18 eV per atom

abc: 9.228 9.241 10.298
angles: 116.70 90.00 119.96
Fractional positions:
1 Rb 0.000 0.000 0.000
2 Rb 0.000 0.500 0.000
3 Rb 0.500 0.500 0.000
4 La 0.500 0.000 0.500
5 La 0.500 0.500 0.500
6 La 0.000 0.500 0.500
7 In 0.000 0.000 0.500
8 Te 0.264 0.528 0.292
9 Te 0.736 0.472 0.708
10 Te 0.776 0.551 0.302
11 Te 0.224 0.449 0.698
12 Te 0.775 0.026 0.301
13 Te 0.225 0.974 0.699
14 Te 0.251 0.026 0.301
15 Te 0.749 0.974 0.699

A plane-wave DFT calculation with PBE was carried out for a relaxed structure of LaInRe3.

Values from the calculation:
mass density = 11.20 g/cm³
formation energy = 2.1366 eV per atom
energy above the lowest structure with this stoichiometry = 0 meV/atom
calculated total energy = -6.87 eV per atom

abc: 4.938 4.938 4.938
angles: 90.00 90.00 90.00
Site moments in Bohr magnetons follow the coordinates.
Fractional positions:
1 Re 0.000 0.500 0.000  0.91
2 Re 0.000 0.000 0.500  0.88
3 Re 0.500 0.000 0.000  0.59
4 In 0.000 0.000 0.000  -0.01
5 La 0.500 0.500 0.500  0.07